Computed, not measured: BaCr2Re after structural relaxation at the PBE level of DFT.

The structure in POSCAR format:
```
BaCr2Re
1.0
4.479 -1.565 0.000
4.479 1.565 0.000
-1.396 0.000 6.226
Ba Cr Re
1 2 1
direct
0.000 0.000 0.000
0.217 0.217 0.606
0.783 0.783 0.394
0.500 0.500 0.500
```

distance to the lowest polymorph of the same formula = 133.7 meV/atom
energy of formation = 0.824 eV/atom
crystal system = monoclinic

Computed, not measured: KTlMo2 after structural relaxation at the PBE level of DFT.

The structure in POSCAR format:
```
KTlMo2
1.0
2.973 0.000 0.000
0.000 5.624 0.000
-0.073 0.000 5.453
K Tl Mo
1 1 2
direct
0.000 0.000 0.000
0.500 0.000 0.500
0.388 0.500 0.204
0.612 0.500 0.796
```

distance to the lowest polymorph of the same formula = 657.2 meV/atom
energy of formation = 1.245 eV/atom
crystal system = monoclinic

Computed, not measured: KLaSiC4N8 after structural relaxation at the PBE level of DFT.

The structure in POSCAR format:
```
KLaSiC4N8
1.0
7.726 0.000 0.000
0.000 9.494 0.000
0.000 0.000 6.972
K La Si C N
2 2 2 8 16
direct
0.000 0.000 0.094
0.500 0.500 0.906
0.000 0.500 0.742
0.500 0.000 0.258
0.000 0.500 0.248
0.500 0.000 0.752
0.174 0.272 0.365
0.214 0.700 0.128
0.286 0.200 0.872
0.326 0.772 0.635
0.674 0.228 0.635
0.714 0.800 0.872
0.786 0.300 0.128
0.826 0.728 0.365
0.100 0.387 0.407
0.134 0.587 0.088
0.208 0.308 0.844
0.243 0.162 0.330
0.257 0.662 0.670
0.292 0.808 0.156
0.366 0.087 0.912
0.400 0.887 0.593
0.600 0.113 0.593
0.634 0.913 0.912
0.708 0.192 0.156
0.743 0.338 0.670
0.757 0.838 0.330
0.792 0.692 0.844
0.866 0.413 0.088
0.900 0.613 0.407
```

raw formation energy = -0.531 eV/atom
crystal system = orthorhombic

Computed, not measured: ErZnCuSn after structural relaxation at the PBE level of DFT.

The structure in POSCAR format:
```
ErZnCuSn
1.0
0.000 3.384 3.384
3.384 0.000 3.384
3.384 3.384 0.000
Er Zn Cu Sn
1 1 1 1
direct
0.000 0.000 0.000
0.250 0.250 0.250
0.750 0.750 0.750
0.500 0.500 0.500
```

energy of formation = -0.269 eV/atom
crystal system = cubic